--- 1 ---
SiSnAs3: relaxed, GGA-PBE.

a = 5.2044 Å, b = 5.2044 Å, c = 5.2044 Å
α = 90.00°, β = 90.00°, γ = 90.00°
With the nearest neighbours (Å) after each atom.
Positions (direct):
Si 0.0000 0.0000 0.0000  12 As 3.68
Sn 0.5000 0.5000 0.5000  6 As 2.60
As 0.0000 0.5000 0.5000  2 Sn 2.60
As 0.5000 0.0000 0.5000  2 Sn 2.60
As 0.5000 0.5000 0.0000  2 Sn 2.60

Space-group type   Pm-3m, No. 221
Crystal system   cubic



--- 2 ---
SiSnAs3: relaxed, GGA-PBE.

a = 4.8388 Å, b = 4.8388 Å, c = 4.8388 Å
α = 90.00°, β = 90.00°, γ = 90.00°
With the nearest neighbours (Å) after each atom.
Positions (direct):
Si 0.0000 0.0000 0.0000  6 As 2.42
Sn 0.5000 0.5000 0.5000  12 As 3.42
As 0.0000 0.0000 0.5000  2 Si 2.42
As 0.0000 0.5000 0.0000  2 Si 2.42
As 0.5000 0.0000 0.0000  2 Si 2.42

Space-group type   Pm-3m, No. 221
Crystal system   cubic



Energies in meV/atom, measured from the most stable structure: 1 723; 2 0.



--- 1 ---
SiSn3As: relaxed, GGA-PBE.

a = 5.3815 Å, b = 5.3815 Å, c = 5.3815 Å
α = 90.00°, β = 90.00°, γ = 90.00°
With the nearest neighbours (Å) after each atom.
Positions (direct):
Si 0.0000 0.0000 0.0000  12 Sn 3.81
Sn 0.0000 0.5000 0.5000  2 As 2.69
Sn 0.5000 0.0000 0.5000  2 As 2.69
Sn 0.5000 0.5000 0.0000  2 As 2.69
As 0.5000 0.5000 0.5000  6 Sn 2.69

Space-group type   Pm-3m, No. 221
Crystal system   cubic



--- 2 ---
SiSn3As: relaxed, GGA-PBE.

a = 5.1897 Å, b = 5.1897 Å, c = 5.1897 Å
α = 90.00°, β = 90.00°, γ = 90.00°
With the nearest neighbours (Å) after each atom.
Positions (direct):
Si 0.0000 0.0000 0.0000  6 Sn 2.59
Sn 0.0000 0.0000 0.5000  2 Si 2.59
Sn 0.0000 0.5000 0.0000  2 Si 2.59
Sn 0.5000 0.0000 0.0000  2 Si 2.59
As 0.5000 0.5000 0.5000  12 Sn 3.67

Space-group type   Pm-3m, No. 221
Crystal system   cubic



Energies in meV/atom, measured from the most stable structure: 1 230; 2 0.